Computed, not measured: a geometry-optimized Nd3CoO6 structure at the GGA+U level of DFT.

The value obtained for the total magnetization is 4.0 μB/f.u. The value obtained for the excess energy over the best structure of this formula in the dataset is 0.000 eV per atom.

The space group is Cmc2_1 (No. 36) and the conventional cell measures 9.2830, 11.6088 and 5.6305 Å, with angles of 90.00, 90.00 and 90.00 degrees. The distinct sites, in fractional coordinates, are Nd at (0.0000, 0.1039, 0.0000), Nd at (0.1959, 0.3911, 0.9525), Co at (0.0000, 0.3136, 0.4210), O at (0.0000, 0.2845, 0.7429), O at (0.0000, 0.4556, 0.2693), O at (0.1536, 0.2395, 0.2459) and O at (0.1597, 0.0137, 0.7230).